VASP calculation (PBE with a Hubbard U) on K2HfFe2O6 after structural relaxation.

Summary:
Magnetization in μB/f.u.: 8.000
Raw total energy in eV/atom: -6.721
Space-group type: R-3m (166)

The structure in POSCAR format:
```
K2HfFe2O6
1.0
5.985 0.000 0.000
-2.992 5.180 -0.205
0.000 -3.230 5.783
Hf O Fe K
1 6 2 2
Direct
0.500 0.000 0.500
0.734 0.469 0.725
0.744 0.009 0.275
0.266 0.531 0.275
0.265 0.009 0.275
0.735 0.991 0.725
0.256 0.991 0.725
0.921 0.842 0.763
0.079 0.158 0.237
0.714 0.428 0.142
0.286 0.572 0.858
```